The following is a GGA+U calculation of a relaxed structure of CoSF3, from Alexandria.

abc: 4.2692 4.2692 4.2692
angles: 90.00 90.00 90.00
Space group Pm-3m (No. 221)
Symmetry-distinct sites (fractional):
Co 0.0000 0.0000 0.0000 (multiplicity 1)
S 0.5000 0.5000 0.5000 (multiplicity 1)
F 0.0000 0.5000 0.5000 (multiplicity 3)

Density: 3.2 g/cm³
V: 77.81 Å³/cell
Relative energy among the computed polymorphs: 516 meV/atom